A plane-wave DFT calculation with PBE was carried out for a relaxed TbReC crystal.

D(E_F) (states/eV per cell): 1.7
Polymorph energy (0 for the lowest one) (meV/atom): 0
E_tot (eV per atom): -8.666
SG: P-6m2, No. 187

The structure in POSCAR format:
```
TbReC
1.0
-1.2410 0.7076 -4.3184
-2.9483 -1.8863 0.5382
-0.0043 3.4944 0.5738
Re C Tb
1 1 1
Cartesian
-1.1924 1.8188 -0.1578
-0.2059 0.1174 -0.7165
-2.7952 0.3795 -2.3321
```

---

A plane-wave DFT calculation with PBE was carried out for a relaxed TiPPt2 crystal.

D(E_F) (states/eV per cell): 4.3
E_tot (eV per atom): -6.844
SG: I-42d, No. 122

The structure in POSCAR format:
```
TiPPt2
1.0
3.8008 0.0000 0.0000
0.0000 3.8008 0.0000
1.9004 1.9004 8.9514
P Pt Ti
2 4 2
Cartesian
1.9004 1.9004 0.0000
1.9004 3.8008 4.4757
2.8292 0.9502 2.2379
0.9716 2.8506 2.2379
2.8506 2.8720 6.7136
4.7510 4.7296 6.7136
0.0000 0.0000 0.0000
3.8008 1.9004 4.4757
```

---

A plane-wave DFT calculation with PBE was carried out for a relaxed La4Tb3Tl4 crystal.

D(E_F) (states/eV per cell): 10.7
E_tot (eV per atom): -4.194
SG: Immm, No. 71

The structure in POSCAR format:
```
La4Tb3Tl4
1.0
-1.8572 0.7094 3.0949
-1.5824 -9.3355 1.1902
10.1494 3.5514 3.0905
La Tb Tl
4 3 4
Cartesian
5.9564 1.0421 3.3354
1.2812 -3.0040 3.6433
0.7536 -6.1168 4.0401
5.4287 -2.0707 3.7323
1.5391 -0.1391 0.9554
5.1709 -4.9357 6.4201
-0.7912 -4.6678 0.5951
3.9378 -5.0950 3.5308
2.7721 0.0203 3.8448
-2.1604 -6.9129 2.4740
-1.2791 -1.7132 1.8111
```

---

A plane-wave DFT calculation with PBE was carried out for a relaxed ZrMn2Fe crystal.

D(E_F) (states/eV per cell): 4.6
Polymorph energy (0 for the lowest one) (meV/atom): 407
E_tot (eV per atom): -8.376
SG: Cmmm, No. 65

The structure in POSCAR format:
```
ZrMn2Fe
1.0
-0.1360 -3.4493 2.4448
0.1559 -2.8351 -3.9912
2.8312 1.3948 2.1254
Zr Mn Fe
1 2 1
Cartesian
0.0099 -3.1422 -0.7732
1.6677 -4.8803 0.5261
1.1834 -0.0093 0.0528
-0.0680 -1.7246 1.2224
```

---

A plane-wave DFT calculation with PBE was carried out for a relaxed Ce3Ga3Ag crystal.

D(E_F) (states/eV per cell): 29.6
E_tot (eV per atom): -4.673
SG: C2/m, No. 12

The structure in POSCAR format:
```
Ce3Ga3Ag
1.0
4.4700 0.0000 0.6733
2.2047 5.4619 0.5376
0.2073 0.0566 13.7974
Ce Ga Ag
6 6 2
Cartesian
3.1999 1.7372 9.1052
3.6822 3.7813 5.9031
1.7773 1.4175 3.3749
5.1048 4.1010 11.6334
2.5916 1.6224 13.1435
4.2905 3.8961 1.8648
5.5738 3.8526 8.5194
1.3083 1.6659 6.4889
2.5669 4.7512 13.3069
4.3152 0.7673 1.7014
6.2126 4.5777 4.2789
0.6695 0.9408 10.7294
3.6601 0.5250 6.0500
3.2220 4.9935 8.9583
```

---

A plane-wave DFT calculation with PBE was carried out for a relaxed KBaTlS2 crystal.

ΔE_f (raw) (eV per atom): -0.96
E_tot (eV per atom): -3.690
SG: P2/c, No. 13

The structure in POSCAR format:
```
KBaTlS2
1.0
-1.0333 -0.3500 -6.4572
-1.2148 -7.9176 0.6236
-7.9805 2.0443 1.1662
K Ba Tl S
2 2 2 4
Cartesian
-2.4932 0.3423 -2.8213
-6.5206 1.3519 -2.4697
-7.0399 -2.5771 -1.6076
-3.1887 -3.6463 -3.0597
0.0000 0.0000 0.0000
-3.9903 1.0221 0.5831
-9.4803 -4.0746 -2.7356
-5.0973 -1.2481 -3.5902
-5.1313 -4.9752 -1.0771
-0.7483 -2.1487 -1.9317
```

---

A plane-wave DFT calculation with PBE was carried out for a relaxed InCo3Ru crystal.

D(E_F) (states/eV per cell): 7.1
Polymorph energy (0 for the lowest one) (meV/atom): 0
E_tot (eV per atom): -5.439
SG: Pm-3m, No. 221

The structure in POSCAR format:
```
InCo3Ru
1.0
4.5002 0.0000 0.0000
0.0000 4.5002 0.0000
0.0000 0.0000 4.5002
Ru Co In
1 3 1
Cartesian
0.0000 0.0000 0.0000
0.0000 2.2501 0.0000
0.0000 0.0000 2.2501
2.2501 0.0000 0.0000
2.2501 2.2501 2.2501
```

---

A plane-wave DFT calculation with PBE was carried out for a relaxed AcPrP2 crystal.

D(E_F) (states/eV per cell): 0.7
Polymorph energy (0 for the lowest one) (meV/atom): 0
E_tot (eV per atom): -6.403
SG: R-3m, No. 166

The structure in POSCAR format:
```
AcPrP2
1.0
4.3257 0.0136 0.0151
2.1514 3.7528 0.0151
2.1351 1.2415 7.0870
Ac Pr P
1 1 2
Cartesian
4.3061 2.5040 3.5586
0.0000 0.0000 0.0000
6.4597 3.7562 5.4216
2.1526 1.2517 1.6955
```

---

A plane-wave DFT calculation with PBE was carried out for a relaxed Ho2Tm7Th2 crystal.

D(E_F) (states/eV per cell): 15.9
Polymorph energy (0 for the lowest one) (meV/atom): 6
E_tot (eV per atom): -4.840
SG: C2/m, No. 12

The structure in POSCAR format:
```
Ho2Tm7Th2
1.0
8.3854 -1.4053 0.1754
-1.7257 5.4738 1.5344
-0.8064 1.4053 8.3484
Ho Tm Th
2 7 2
Cartesian
-0.1596 5.6031 7.7733
6.0129 -0.1293 2.2849
3.0529 0.4963 0.8484
-1.2401 4.9775 4.6655
2.8005 4.9775 9.2098
7.0934 0.4963 5.3926
3.9897 1.8138 4.0839
0.0000 0.0000 0.0000
1.8636 3.6600 5.9743
5.1146 2.7369 7.4898
0.7387 2.7369 2.5684
```

---

A plane-wave DFT calculation with PBE was carried out for a relaxed Ba6Mg5In crystal.

D(E_F) (states/eV per cell): 9.0
E_tot (eV per atom): -1.973
SG: Immm, No. 71

The structure in POSCAR format:
```
Ba6Mg5In
1.0
5.9135 -0.0064 -1.6585
-4.4300 8.5956 -4.4492
-0.2285 -1.2412 10.5693
Mg Ba In
5 6 1
Cartesian
2.0119 0.4327 7.1796
-1.6308 2.0418 5.5569
0.6275 3.6740 2.2308
2.8858 5.3062 -1.0952
-0.7569 6.9153 -2.7179
0.9988 0.1943 3.5648
1.6359 3.9232 5.8290
3.2623 1.7836 0.2556
-2.0073 5.5644 4.2061
-0.3809 3.4247 -1.3673
0.2562 7.1537 0.8968
0.0000 0.0000 0.0000
```

---

A plane-wave DFT calculation with PBE was carried out for a relaxed NaLuPb crystal.

D(E_F) (states/eV per cell): 1.3
Polymorph energy (0 for the lowest one) (meV/atom): 25
E_tot (eV per atom): -3.276
SG: P3m1, No. 156

The structure in POSCAR format:
```
NaLuPb
1.0
-0.0201 -0.2866 -3.4971
4.0031 -3.3510 0.2517
-4.9116 -1.7784 0.1739
Pb Na Lu
1 1 1
Cartesian
1.0176 -3.0263 -2.2083
-0.0187 -0.2679 -3.2686
-1.9475 -2.4084 -1.0916
```

---

A plane-wave DFT calculation with PBE was carried out for a relaxed CsCeAlSe4 crystal.

ΔE_f (raw) (eV per atom): -1.34
D(E_F) (states/eV per cell): 4.6
E_tot (eV per atom): -4.839
SG: P2_1/m, No. 11

The structure in POSCAR format:
```
CsCeAlSe4
1.0
6.8245 0.0000 -0.1964
0.0000 6.9885 0.0000
-2.9345 0.0000 9.4994
Cs Ce Al Se
2 2 2 8
Cartesian
2.3271 5.2414 8.8304
1.5628 1.7471 0.4726
3.9352 5.2414 4.1166
-0.0452 1.7471 5.1865
0.5519 5.2414 3.1924
3.3380 1.7471 6.1107
-1.9282 3.5611 6.5911
5.8182 0.0669 2.7119
5.8182 3.4273 2.7119
-1.9282 6.9216 6.5911
2.3725 5.2414 1.6785
1.5174 1.7471 7.6245
1.3800 5.2414 5.4206
2.5099 1.7471 3.8824
```

---

Let's list calculated volume in order: 49; 129; 349; 60; 336; 436; 91; 115; 347; 492; 83; 449 Å³/cell.